DFT (GGA-PBE) results for a relaxed structure of Li6CuAg5.

Output
V (Å³/atom): 15.65
Energy relative to the elements (eV per atom): -0.17
DOS(E_F) (states/eV/atom): 0.26

abc: 7.664 7.664 7.664
angles: 146.27 130.66 61.10
Sites, in units of the cell vectors:
Li  0.082  0.336  0.745
Li  0.242  0.000  0.242
Li  0.409  0.664  0.745
Li  0.591  0.336  0.255
Li  0.758  0.000  0.758
Li  0.918  0.664  0.255
Cu  0.000  0.500  0.500
Ag  0.167  0.167  0.000
Ag  0.334  0.834  0.500
Ag  0.500  0.500  0.000
Ag  0.666  0.166  0.500
Ag  0.833  0.833  0.000

---

DFT (GGA-PBE) results for a relaxed structure of LiYNb2.

Output
V (Å³/atom): 20.77
Energy relative to the elements (eV per atom): 0.59
DOS(E_F) (states/eV/atom): 0.92
Excess energy over the best structure of this formula in the dataset (kJ per mole of atoms): 0.0

abc: 11.071 11.071 11.071
angles: 159.51 159.51 29.13
Sites, in units of the cell vectors:
Li  0.000  0.000  0.000
Li  0.750  0.250  0.500
Y  0.250  0.750  0.500
Y  0.500  0.500  0.000
Nb  0.121  0.125  0.496
Nb  0.375  0.879  0.004
Nb  0.629  0.625  0.504
Nb  0.875  0.371  0.996

---

DFT (GGA-PBE) results for a relaxed structure of MgBe2Pt.

Output
V (Å³/atom): 13.96
Energy relative to the elements (eV per atom): -0.40
DOS(E_F) (states/eV/atom): 0.24

abc: 4.092 4.092 4.567
angles: 109.31 109.31 51.73
Sites, in units of the cell vectors:
Mg  0.000  0.000  0.000
Be  0.211  0.211  0.606
Be  0.789  0.789  0.394
Pt  0.500  0.500  0.500

---

DFT (GGA-PBE) results for a relaxed structure of K2CrAs.

Output
V (Å³/atom): 48.37
Energy relative to the elements (eV per atom): 0.08
DOS(E_F) (states/eV/atom): 0.47

abc: 9.306 9.306 9.306
angles: 93.79 93.79 150.21
Sites, in units of the cell vectors:
K  0.375  0.182  0.307
K  0.818  0.125  0.193
K  0.875  0.068  0.693
K  0.932  0.625  0.807
Cr  0.250  0.750  0.500
Cr  0.500  0.500  0.000
As  0.000  0.000  0.000
As  0.750  0.250  0.500

---

DFT (GGA-PBE) results for a relaxed structure of CsMgAgHg2.

Output
V (Å³/atom): 35.61
Energy relative to the elements (eV per atom): -0.04
DOS(E_F) (states/eV/atom): 0.59
Excess energy over the best structure of this formula in the dataset (kJ per mole of atoms): 0.0

abc: 5.710 5.710 5.461
angles: 90.00 90.00 90.00
Sites, in units of the cell vectors:
Cs  0.000  0.000  0.000
Mg  0.500  0.500  0.500
Ag  0.500  0.500  0.000
Hg  0.000  0.500  0.500
Hg  0.500  0.000  0.500

---

DFT (GGA-PBE) results for a relaxed structure of CaTePb2.

Output
V (Å³/atom): 30.57
DOS(E_F) (states/eV/atom): 0.68
Excess energy over the best structure of this formula in the dataset (kJ per mole of atoms): 13.5
Formation energy from raw total energies (eV/atom): -0.43

abc: 5.932 5.932 5.932
angles: 129.14 129.14 74.78
Sites, in units of the cell vectors:
Ca  0.000  0.000  0.000
Te  0.750  0.250  0.500
Pb  0.250  0.750  0.500
Pb  0.500  0.500  0.000

---

DFT (GGA-PBE) results for a relaxed structure of TaGaRh.

Output
V (Å³/atom): 17.57
Energy relative to the elements (eV per atom): -0.24
DOS(E_F) (states/eV/atom): 0.75

abc: 8.433 3.988 6.272
angles: 90.00 90.00 90.00
Sites, in units of the cell vectors:
Ta  0.130  0.250  0.217
Ta  0.370  0.750  0.717
Ta  0.630  0.250  0.283
Ta  0.870  0.750  0.783
Ga  0.123  0.250  0.772
Ga  0.377  0.750  0.272
Ga  0.623  0.250  0.728
Ga  0.877  0.750  0.228
Rh  0.119  0.750  0.489
Rh  0.381  0.250  0.989
Rh  0.619  0.750  0.011
Rh  0.881  0.250  0.511

---

DFT (GGA-PBE) results for a relaxed structure of Dy4CdIr2Pd.

Output
V (Å³/atom): 21.68
Energy relative to the elements (eV per atom): -0.72
DOS(E_F) (states/eV/atom): 0.65

abc: 8.591 8.591 8.591
angles: 33.65 33.65 33.65
Sites, in units of the cell vectors:
Dy  0.121  0.121  0.121
Dy  0.371  0.371  0.371
Dy  0.629  0.629  0.629
Dy  0.879  0.879  0.879
Cd  0.500  0.500  0.500
Ir  0.248  0.248  0.248
Ir  0.752  0.752  0.752
Pd  0.000  0.000  0.000

---

DFT (GGA-PBE) results for a relaxed structure of BeOsRu.

Output
V (Å³/atom): 12.21
Energy relative to the elements (eV per atom): 0.05
DOS(E_F) (states/eV/atom): 0.97

abc: 5.182 3.885 7.280
angles: 90.00 90.00 90.00
Sites, in units of the cell vectors:
Be  0.195  0.250  0.110
Be  0.305  0.750  0.610
Be  0.695  0.250  0.390
Be  0.805  0.750  0.890
Os  0.158  0.250  0.442
Os  0.342  0.750  0.942
Os  0.658  0.250  0.058
Os  0.842  0.750  0.558
Ru  0.024  0.250  0.795
Ru  0.476  0.750  0.295
Ru  0.524  0.250  0.705
Ru  0.976  0.750  0.205

---

DFT (GGA-PBE) results for a relaxed structure of TaP2SBr.

Output
V (Å³/atom): 20.00
DOS(E_F) (states/eV/atom): 1.17
Excess energy over the best structure of this formula in the dataset (kJ per mole of atoms): 137.5
Formation energy from raw total energies (eV/atom): 1.64

abc: 4.637 4.637 4.651
angles: 90.00 90.00 90.00
Sites, in units of the cell vectors:
Ta  0.000  0.000  0.000
P  0.000  0.500  0.500
P  0.500  0.000  0.500
S  0.500  0.500  0.000
Br  0.500  0.500  0.500

---

DFT (GGA-PBE) results for a relaxed structure of TiPtF3.

Output
V (Å³/atom): 13.20
DOS(E_F) (states/eV/atom): 0.94
Excess energy over the best structure of this formula in the dataset (kJ per mole of atoms): 0.0
Formation energy from raw total energies (eV/atom): -1.59

abc: 4.041 4.041 4.041
angles: 90.00 90.00 90.00
Sites, in units of the cell vectors:
Ti  0.000  0.000  0.000
Pt  0.500  0.500  0.500
F  0.000  0.000  0.500
F  0.000  0.500  0.000
F  0.500  0.000  0.000

---

DFT (GGA-PBE) results for a relaxed structure of Sc2AgHg2.

Output
V (Å³/atom): 24.43
Energy relative to the elements (eV per atom): 0.10
DOS(E_F) (states/eV/atom): 1.20
Excess energy over the best structure of this formula in the dataset (kJ per mole of atoms): 35.9

abc: 8.108 8.108 8.108
angles: 151.36 151.36 40.95
Sites, in units of the cell vectors:
Sc  0.096  0.096  0.000
Sc  0.904  0.904  0.000
Ag  0.500  0.500  0.000
Hg  0.250  0.750  0.500
Hg  0.750  0.250  0.500